A relaxed structure of Pr2Sm3Ho6In. Source: Alexandria via LeMat-Bulk, functional PBE.

Cell: 6.131 6.131 11.775 Å, 94.99 94.99 120.01°
Sites, in units of the cell vectors:
Pr  0.166  0.834  0.000
Pr  0.834  0.166  0.000
Sm  0.000  0.000  0.500
Sm  0.333  0.667  0.500
Sm  0.667  0.333  0.500
Ho  0.091  0.418  0.752
Ho  0.255  0.255  0.249
Ho  0.418  0.091  0.752
Ho  0.582  0.909  0.248
Ho  0.745  0.745  0.751
Ho  0.909  0.582  0.248
In  0.500  0.500  0.000

SG: No. 12
Fermi-level density of states, states/eV per cell: 15.6
Theoretical density, g/cm3: 8.1
Spin magnetization, μB per atom: 0.00
Energy of formation, eV per atom: -0.06